## Rb2Ag3Cl6 (PBE)

Data for a relaxed structure of Rb2Ag3Cl6.

a = 5.0509 Å, b = 8.4400 Å, c = 8.4400 Å
α = 120.00°, β = 90.00°, γ = 90.00°
Last column: nearest neighbours and their distance in Å.
Fractional coordinates of all 11 atoms:
Ag (0.5000, 0.0000, 0.2156)  4 Cl 2.55-2.65
Ag (0.5000, 0.2156, 0.0000)  4 Cl 2.55-2.65
Ag (0.5000, 0.7844, 0.7844)  4 Cl 2.55-2.65
Cl (0.0000, 0.0000, 0.2558)  2 Ag 2.55
Cl (0.5000, 0.6402, 0.0000)  2 Ag 2.65
Cl (0.5000, 0.0000, 0.6402)  2 Ag 2.65
Cl (0.0000, 0.7442, 0.7442)  2 Ag 2.55
Cl (0.0000, 0.2558, 0.0000)  2 Ag 2.55
Cl (0.5000, 0.3598, 0.3598)  2 Ag 2.65
Rb (0.0000, 0.3333, 0.6667)  3 Cl 3.19
Rb (0.0000, 0.6667, 0.3333)  3 Cl 3.19

Summary:
energy relative to the elements, uncorrected: -0.942 eV/atom
symmetry: P-62m (189)
M_tot: 0.000 μB per cell



## Sm3Y4Sc2 (PBE)

Data for a relaxed structure of Sm3Y4Sc2.

a = 5.9724 Å, b = 9.9834 Å, c = 9.9834 Å
α = 70.81°, β = 83.93°, γ = 83.93°
Last column: nearest neighbours and their distance in Å.
Fractional coordinates of all 18 atoms:
Sc (0.1900, 0.7381, 0.4713)  3 Sm 3.18-3.33, 3 Y 3.29-3.34, 1 Sc 3.39
Sc (0.8100, 0.2619, 0.5287)  3 Sm 3.18-3.33, 3 Y 3.29-3.34, 1 Sc 3.39
Sc (0.3100, 0.5287, 0.2619)  3 Sm 3.18-3.33, 3 Y 3.29-3.34, 1 Sc 3.39
Sc (0.6900, 0.4713, 0.7381)  3 Sm 3.18-3.33, 3 Y 3.29-3.34, 1 Sc 3.39
Y (0.6194, 0.8258, 0.6056)  3 Sc 3.33-3.65, 5 Sm 3.42-3.52, 2 Y 3.64-3.65
Y (0.9711, 0.1847, 0.9336)  1 Sc 3.29, 4 Sm 3.44-3.59, 4 Y 3.46-3.64
Y (0.4711, 0.9336, 0.1847)  1 Sc 3.29, 4 Sm 3.44-3.59, 4 Y 3.46-3.64
Y (0.5289, 0.0664, 0.8153)  1 Sc 3.29, 4 Sm 3.44-3.59, 4 Y 3.46-3.64
Y (0.3806, 0.1742, 0.3944)  3 Sc 3.33-3.65, 5 Sm 3.42-3.52, 2 Y 3.64-3.65
Y (0.1194, 0.6056, 0.8258)  3 Sc 3.33-3.65, 5 Sm 3.42-3.52, 2 Y 3.64-3.65
Y (0.8806, 0.3944, 0.1742)  3 Sc 3.33-3.65, 5 Sm 3.42-3.52, 2 Y 3.64-3.65
Y (0.0289, 0.8153, 0.0664)  1 Sc 3.29, 4 Sm 3.44-3.59, 4 Y 3.46-3.64
Sm (0.9211, 0.0302, 0.3120)  1 Sc 3.18, 6 Y 3.42-3.55
Sm (0.7500, 0.6069, 0.3931)  6 Sc 3.26-3.56, 4 Y 3.50-3.59
Sm (0.5789, 0.6880, 0.9698)  1 Sc 3.18, 6 Y 3.42-3.55
Sm (0.2500, 0.3931, 0.6069)  6 Sc 3.26-3.56, 4 Y 3.50-3.59
Sm (0.4211, 0.3120, 0.0302)  1 Sc 3.18, 6 Y 3.42-3.55
Sm (0.0789, 0.9698, 0.6880)  1 Sc 3.18, 6 Y 3.42-3.55

Summary:
formation energy from the elements: 0.108 eV/atom
symmetry: C2/c (15)
M_tot: 0.000 μB per cell



## BaNi3Sb (PBE)

Data for a relaxed structure of BaNi3Sb.

a = 4.9187 Å, b = 4.9187 Å, c = 4.9187 Å
α = 90.00°, β = 90.00°, γ = 90.00°
Last column: nearest neighbours and their distance in Å.
Fractional coordinates of all 5 atoms:
Ni (0.5000, 0.0000, 0.0000)  2 Ba 2.46
Ni (0.0000, 0.5000, 0.0000)  2 Ba 2.46
Ni (0.0000, 0.0000, 0.5000)  2 Ba 2.46
Ba (0.0000, 0.0000, 0.0000)  6 Ni 2.46
Sb (0.5000, 0.5000, 0.5000)  12 Ni 3.48

Summary:
energy relative to the elements, uncorrected: 1.559 eV/atom
symmetry: Pm-3m (221)
M_tot: 0.000 μB per cell



## SrVH (PBE)

Data for a relaxed structure of SrVH.

a = 5.0899 Å, b = 5.0899 Å, c = 3.0733 Å
α = 90.00°, β = 90.00°, γ = 120.00°
Last column: nearest neighbours and their distance in Å.
Fractional coordinates of all 3 atoms:
H (0.6667, 0.3333, 0.5000)  2 H 3.07, 6 V 3.32, 6 Sr 3.32
Sr (0.0000, 0.0000, 0.0000)  3 V 2.94, 2 Sr 3.07
V (0.3333, 0.6667, 0.0000)  3 Sr 2.94, 2 V 3.07

Summary:
symmetry: P-6m2 (187)
energy: -3.29 eV/atom
M_tot: 4.072 μB per cell